# 1
VASP calculation (PBE-GGA) on HoSiPd after structural relaxation.

## Properties
Its uncorrected formation energy is -3.00 eV/f.u. The space-group type is Imm2. As for the energy: -6.07 eV/atom.

a = 4.3074 Å, b = 7.4851 Å, c = 11.2977 Å
α = 109.35°, β = 100.99°, γ = 90.00°
With the nearest neighbours (Å) after each atom.
Fractional coordinates of all 18 atoms:
Ho1 0.0000 0.5390 0.0000  6 Si 3.07-3.16, 6 Pd 3.08-3.09
Ho2 0.6665 0.2072 0.3330  6 Pd 2.90-3.18, 6 Si 2.98-3.24
Ho3 0.3335 0.8742 0.6670  6 Pd 2.90-3.18, 6 Si 2.98-3.24
Ho4 0.5000 0.9464 0.0000  6 Si 2.95-2.97, 6 Pd 3.20
Ho5 0.8327 0.2855 0.6653  6 Pd 3.00-3.09, 6 Si 3.02-3.21
Ho6 0.1673 0.6202 0.3347  6 Pd 3.00-3.09, 6 Si 3.02-3.21
Si1 0.9382 0.0918 0.8765  3 Pd 2.51-2.60, 1 Si 2.58
Si2 0.0618 0.2154 0.1235  3 Pd 2.51-2.60, 1 Si 2.58
Si3 0.7662 0.6053 0.5324  4 Pd 2.51-2.68
Si4 0.2338 0.0729 0.4676  4 Pd 2.51-2.68
Si5 0.5962 0.7507 0.1924  4 Pd 2.52-2.82
Si6 0.4038 0.5582 0.8076  4 Pd 2.52-2.82
Pd1 0.8947 0.7229 0.7893  4 Si 2.52-2.68
Pd2 0.1053 0.9336 0.2107  4 Si 2.52-2.68
Pd3 0.7310 0.8980 0.4620  3 Si 2.51-2.56
Pd4 0.2690 0.4360 0.5380  3 Si 2.51-2.56
Pd5 0.5716 0.3952 0.1432  3 Si 2.51-2.53
Pd6 0.4284 0.2520 0.8568  3 Si 2.51-2.53

# 2
VASP calculation (PBE-GGA) on HoSiPd2 after structural relaxation.

## Properties
Its uncorrected formation energy is -2.80 eV/f.u. The space-group type is Pmmm. As for the energy: -5.80 eV/atom.

a = 4.0193 Å, b = 3.5864 Å, c = 5.4387 Å
α = 90.04°, β = 90.00°, γ = 90.00°
With the nearest neighbours (Å) after each atom.
Fractional coordinates of all 4 atoms:
Ho1 0.5000 0.5000 0.0000  8 Pd 3.02, 4 Si 3.26
Si1 0.5000 0.0000 0.5000  4 Pd 2.43
Pd1 0.0000 0.0004 0.2502  2 Si 2.43
Pd2 0.0000 0.9996 0.7498  2 Si 2.43

# 3
VASP calculation (PBE-GGA) on HoSiPd2 after structural relaxation.

## Properties
Its uncorrected formation energy is -3.26 eV/f.u. The space-group type is R-3m. As for the energy: -5.91 eV/atom.

a = 4.3102 Å, b = 4.3102 Å, c = 5.1816 Å
α = 65.42°, β = 65.42°, γ = 60.00°
With the nearest neighbours (Å) after each atom.
Fractional coordinates of all 4 atoms:
Si1 0.0000 0.0000 0.0000  6 Pd 2.57
Ho1 0.5000 0.5000 0.5000  8 Pd 2.92-2.97
Pd1 0.2858 0.2858 0.1425  3 Si 2.57, 3 Pd 2.81
Pd2 0.7142 0.7142 0.8575  3 Si 2.57, 3 Pd 2.81

# 4
VASP calculation (PBE-GGA) on Ho2SiPd after structural relaxation.

## Properties
Its uncorrected formation energy is -2.90 eV/f.u. The space-group type is P4/mmm. As for the energy: -5.67 eV/atom.

a = 3.4526 Å, b = 3.4526 Å, c = 7.1580 Å
α = 90.00°, β = 90.00°, γ = 90.00°
With the nearest neighbours (Å) after each atom.
Fractional coordinates of all 4 atoms:
Si1 0.5000 0.5000 0.0000  8 Ho 3.03
Ho1 0.0000 0.0000 0.7497  4 Pd 3.03, 4 Si 3.03
Ho2 0.0000 0.0000 0.2503  4 Pd 3.03, 4 Si 3.03
Pd1 0.5000 0.5000 0.5000  8 Ho 3.03

# 5
VASP calculation (PBE-GGA) on Ho2Si2Pd5 after structural relaxation.

## Properties
Its uncorrected formation energy is -8.60 eV/f.u. The space-group type is P4/mmm. As for the energy: -6.06 eV/atom.

a = 4.1579 Å, b = 4.1579 Å, c = 8.9795 Å
α = 90.00°, β = 90.00°, γ = 90.00°
With the nearest neighbours (Å) after each atom.
Fractional coordinates of all 9 atoms:
Ho1 0.0000 0.0000 0.0000  8 Si 3.16, 8 Pd 3.18
Ho2 0.0000 0.0000 0.5000  12 Pd 2.94
Si1 0.5000 0.5000 0.1303  1 Si 2.34, 4 Pd 2.42
Si2 0.5000 0.5000 0.8697  1 Si 2.34, 4 Pd 2.42
Pd1 0.5000 0.0000 0.2685  2 Si 2.42
Pd2 0.5000 0.0000 0.7315  2 Si 2.42
Pd3 0.0000 0.5000 0.2685  2 Si 2.42
Pd4 0.0000 0.5000 0.7315  2 Si 2.42
Pd5 0.5000 0.5000 0.5000  4 Ho 2.94, 8 Pd 2.94

# 6
VASP calculation (PBE-GGA) on HoSiPd after structural relaxation.

## Properties
Its uncorrected formation energy is -2.87 eV/f.u. The space-group type is P-6m2. As for the energy: -6.02 eV/atom.

a = 3.5002 Å, b = 4.3429 Å, c = 4.3429 Å
α = 120.00°, β = 90.00°, γ = 90.00°
With the nearest neighbours (Å) after each atom.
Fractional coordinates of all 3 atoms:
Si1 0.1667 0.3333 0.6667  3 Pd 2.51
Ho1 0.6667 0.6667 0.3333  6 Si 3.06, 6 Pd 3.06
Pd1 0.1667 0.0000 0.0000  3 Si 2.51

# 7
VASP calculation (PBE-GGA) on HoSi2Pd after structural relaxation.

## Properties
Its uncorrected formation energy is -3.21 eV/f.u. The space-group type is Pnma. As for the energy: -5.96 eV/atom.

a = 4.0658 Å, b = 10.5308 Å, c = 13.3552 Å
α = 90.00°, β = 90.00°, γ = 90.00°
With the nearest neighbours (Å) after each atom.
Fractional coordinates of all 32 atoms:
Ho1 0.7500 0.4737 0.6992  10 Si 3.04-3.25, 4 Pd 3.12-3.32
Ho2 0.2500 0.9737 0.8008  10 Si 3.04-3.25, 4 Pd 3.12-3.32
Ho3 0.2500 0.5263 0.3008  10 Si 3.04-3.25, 4 Pd 3.12-3.32
Ho4 0.7500 0.0263 0.1992  10 Si 3.04-3.25, 4 Pd 3.12-3.32
Ho5 0.7500 0.2452 0.9503  9 Si 2.93-3.21, 3 Pd 3.27-3.28
Ho6 0.2500 0.7452 0.5497  9 Si 2.93-3.21, 3 Pd 3.27-3.28
Ho7 0.2500 0.7548 0.0497  9 Si 2.93-3.21, 3 Pd 3.27-3.28
Ho8 0.7500 0.2548 0.4503  9 Si 2.93-3.21, 3 Pd 3.27-3.28
Si1 0.7500 0.9579 0.9696  3 Si 2.30-2.36
Si2 0.2500 0.4579 0.5304  3 Si 2.30-2.36
Si3 0.2500 0.0421 0.0304  3 Si 2.30-2.36
Si4 0.7500 0.5421 0.4696  3 Si 2.30-2.36
Si5 0.7500 0.7679 0.8840  2 Si 2.30-2.36, 3 Pd 2.36-2.56
Si6 0.2500 0.2679 0.6160  2 Si 2.30-2.36, 3 Pd 2.36-2.56
Si7 0.2500 0.2321 0.1160  2 Si 2.30-2.36, 3 Pd 2.36-2.56
Si8 0.7500 0.7321 0.3840  2 Si 2.30-2.36, 3 Pd 2.36-2.56
Si9 0.7500 0.7640 0.7071  2 Si 2.33-2.36, 2 Pd 2.50
Si10 0.2500 0.2640 0.7929  2 Si 2.33-2.36, 2 Pd 2.50
Si11 0.2500 0.2360 0.2929  2 Si 2.33-2.36, 2 Pd 2.50
Si12 0.7500 0.7360 0.2071  2 Si 2.33-2.36, 2 Pd 2.50
Si13 0.7500 0.9597 0.6259  1 Si 2.33, 4 Pd 2.43-2.54
Si14 0.2500 0.4597 0.8741  1 Si 2.33, 4 Pd 2.43-2.54
Si15 0.2500 0.0403 0.3741  1 Si 2.33, 4 Pd 2.43-2.54
Si16 0.7500 0.5403 0.1259  1 Si 2.33, 4 Pd 2.43-2.54
Pd1 0.7500 0.5550 0.9395  4 Si 2.36-2.49
Pd2 0.2500 0.0550 0.5605  4 Si 2.36-2.49
Pd3 0.2500 0.4450 0.0605  4 Si 2.36-2.49
Pd4 0.7500 0.9450 0.4395  4 Si 2.36-2.49
Pd5 0.7500 0.3228 0.2078  5 Si 2.50-2.56
Pd6 0.2500 0.8228 0.2922  5 Si 2.50-2.56
Pd7 0.2500 0.6772 0.7922  5 Si 2.50-2.56
Pd8 0.7500 0.1772 0.7078  5 Si 2.50-2.56

# 8
VASP calculation (PBE-GGA) on Ho3Si2Pd6 after structural relaxation.

## Properties
Its uncorrected formation energy is -9.48 eV/f.u. The space-group type is Im-3m. As for the energy: -5.93 eV/atom.

a = 8.0912 Å, b = 8.0912 Å, c = 8.0912 Å
α = 109.47°, β = 109.47°, γ = 109.47°
With the nearest neighbours (Å) after each atom.
Fractional coordinates of all 22 atoms:
Ho1 0.7129 0.0000 0.7129  8 Pd 3.03-3.07, 4 Si 3.32
Ho2 0.2871 0.0000 0.2871  8 Pd 3.03-3.07, 4 Si 3.32
Ho3 0.0000 0.2871 0.2871  8 Pd 3.03-3.07, 4 Si 3.32
Ho4 0.0000 0.7129 0.7129  8 Pd 3.03-3.07, 4 Si 3.32
Ho5 0.2871 0.2871 0.0000  8 Pd 3.03-3.07, 4 Si 3.32
Ho6 0.7129 0.7129 0.0000  8 Pd 3.03-3.07, 4 Si 3.32
Si1 0.0000 0.5000 0.0000  6 Pd 2.53
Si2 0.5000 0.0000 0.0000  6 Pd 2.53
Si3 0.0000 0.0000 0.5000  6 Pd 2.53
Si4 0.5000 0.5000 0.5000  6 Pd 2.53
Pd1 0.6773 0.3546 0.6773  2 Si 2.53, 4 Pd 2.71
Pd2 0.6773 0.0000 0.3227  2 Si 2.53, 4 Pd 2.71
Pd3 0.3227 0.0000 0.6773  2 Si 2.53, 4 Pd 2.71
Pd4 0.3227 0.6454 0.3227  2 Si 2.53, 4 Pd 2.71
Pd5 0.0000 0.6773 0.3227  2 Si 2.53, 4 Pd 2.71
Pd6 0.6454 0.3227 0.3227  2 Si 2.53, 4 Pd 2.71
Pd7 0.3546 0.6773 0.6773  2 Si 2.53, 4 Pd 2.71
Pd8 0.0000 0.3227 0.6773  2 Si 2.53, 4 Pd 2.71
Pd9 0.3227 0.6773 0.0000  2 Si 2.53, 4 Pd 2.71
Pd10 0.6773 0.6773 0.3546  2 Si 2.53, 4 Pd 2.71
Pd11 0.3227 0.3227 0.6454  2 Si 2.53, 4 Pd 2.71
Pd12 0.6773 0.3227 0.0000  2 Si 2.53, 4 Pd 2.71

# 9
VASP calculation (PBE-GGA) on Ho2Si3Pd after structural relaxation.

## Properties
Its uncorrected formation energy is -5.34 eV/f.u. The space-group type is P6_3/mmc. As for the energy: -5.99 eV/atom.

a = 8.1485 Å, b = 8.1485 Å, c = 8.0404 Å
α = 90.00°, β = 90.00°, γ = 120.00°
With the nearest neighbours (Å) after each atom.
Fractional coordinates of all 24 atoms:
Ho1 0.5001 0.0003 0.2500  4 Pd 3.09, 8 Si 3.10
Ho2 0.4999 0.9997 0.7500  4 Pd 3.09, 8 Si 3.10
Ho3 0.9997 0.4999 0.2500  4 Pd 3.09, 8 Si 3.10
Ho4 0.0003 0.5001 0.7500  4 Pd 3.09, 8 Si 3.10
Ho5 0.5001 0.4999 0.2500  4 Pd 3.09, 8 Si 3.10
Ho6 0.4999 0.5001 0.7500  4 Pd 3.09, 8 Si 3.10
Ho7 0.0000 0.0000 0.2500  12 Si 3.08
Ho8 0.0000 0.0000 0.7500  12 Si 3.08
Si1 0.1655 0.3310 0.0000  2 Si 2.34, 1 Pd 2.37
Si2 0.8345 0.6690 0.0000  2 Si 2.34, 1 Pd 2.37
Si3 0.6690 0.8345 0.0000  2 Si 2.34, 1 Pd 2.37
Si4 0.8345 0.6690 0.5000  2 Si 2.34, 1 Pd 2.37
Si5 0.3310 0.1655 0.0000  2 Si 2.34, 1 Pd 2.37
Si6 0.1655 0.3310 0.5000  2 Si 2.34, 1 Pd 2.37
Si7 0.1655 0.8345 0.0000  2 Si 2.34, 1 Pd 2.37
Si8 0.3310 0.1655 0.5000  2 Si 2.34, 1 Pd 2.37
Si9 0.8345 0.1655 0.0000  2 Si 2.34, 1 Pd 2.37
Si10 0.6690 0.8345 0.5000  2 Si 2.34, 1 Pd 2.37
Si11 0.8345 0.1655 0.5000  2 Si 2.34, 1 Pd 2.37
Si12 0.1655 0.8345 0.5000  2 Si 2.34, 1 Pd 2.37
Pd1 0.3333 0.6667 0.0004  3 Si 2.37
Pd2 0.6667 0.3333 0.9996  3 Si 2.37
Pd3 0.6667 0.3333 0.5004  3 Si 2.37
Pd4 0.3333 0.6667 0.4996  3 Si 2.37

# 10
VASP calculation (PBE-GGA) on HoSi4Pd6 after structural relaxation.

## Properties
Its uncorrected formation energy is -6.35 eV/f.u. The space-group type is I-42m. As for the energy: -5.80 eV/atom. For the energy above the most stable polymorph in this dataset, the calculation gives 0.214 eV/atom.

a = 6.3510 Å, b = 6.3510 Å, c = 6.3510 Å
α = 96.92°, β = 116.09°, γ = 116.09°
With the nearest neighbours (Å) after each atom.
Fractional coordinates of all 11 atoms:
Ho1 0.0000 0.0000 0.0000  4 Si 3.03, 8 Pd 3.36-3.38
Si1 0.0000 0.1460 0.5622  4 Pd 2.30-2.43
Si2 0.5837 0.4378 0.4378  4 Pd 2.30-2.43
Si3 0.0000 0.5622 0.1460  4 Pd 2.30-2.43
Si4 0.4163 0.8540 0.8540  4 Pd 2.30-2.43
Pd1 0.0000 0.7828 0.4869  4 Si 2.30-2.43
Pd2 0.0000 0.4869 0.7828  4 Si 2.30-2.43
Pd3 0.7041 0.2172 0.2172  4 Si 2.30-2.43
Pd4 0.5000 0.0000 0.5000  4 Si 2.71, 4 Pd 2.81
Pd5 0.2959 0.5131 0.5131  4 Si 2.30-2.43
Pd6 0.5000 0.5000 0.0000  4 Si 2.71, 4 Pd 2.81

What did the seventh record say?
VASP calculation (PBE-GGA) on HoSi2Pd after structural relaxation.

## Properties
Its uncorrected formation energy is -3.21 eV/f.u. The space-group type is Pnma. As for the energy: -5.96 eV/atom.

a = 4.0658 Å, b = 10.5308 Å, c = 13.3552 Å
α = 90.00°, β = 90.00°, γ = 90.00°
With the nearest neighbours (Å) after each atom.
Fractional coordinates of all 32 atoms:
Ho1 0.7500 0.4737 0.6992  10 Si 3.04-3.25, 4 Pd 3.12-3.32
Ho2 0.2500 0.9737 0.8008  10 Si 3.04-3.25, 4 Pd 3.12-3.32
Ho3 0.2500 0.5263 0.3008  10 Si 3.04-3.25, 4 Pd 3.12-3.32
Ho4 0.7500 0.0263 0.1992  10 Si 3.04-3.25, 4 Pd 3.12-3.32
Ho5 0.7500 0.2452 0.9503  9 Si 2.93-3.21, 3 Pd 3.27-3.28
Ho6 0.2500 0.7452 0.5497  9 Si 2.93-3.21, 3 Pd 3.27-3.28
Ho7 0.2500 0.7548 0.0497  9 Si 2.93-3.21, 3 Pd 3.27-3.28
Ho8 0.7500 0.2548 0.4503  9 Si 2.93-3.21, 3 Pd 3.27-3.28
Si1 0.7500 0.9579 0.9696  3 Si 2.30-2.36
Si2 0.2500 0.4579 0.5304  3 Si 2.30-2.36
Si3 0.2500 0.0421 0.0304  3 Si 2.30-2.36
Si4 0.7500 0.5421 0.4696  3 Si 2.30-2.36
Si5 0.7500 0.7679 0.8840  2 Si 2.30-2.36, 3 Pd 2.36-2.56
Si6 0.2500 0.2679 0.6160  2 Si 2.30-2.36, 3 Pd 2.36-2.56
Si7 0.2500 0.2321 0.1160  2 Si 2.30-2.36, 3 Pd 2.36-2.56
Si8 0.7500 0.7321 0.3840  2 Si 2.30-2.36, 3 Pd 2.36-2.56
Si9 0.7500 0.7640 0.7071  2 Si 2.33-2.36, 2 Pd 2.50
Si10 0.2500 0.2640 0.7929  2 Si 2.33-2.36, 2 Pd 2.50
Si11 0.2500 0.2360 0.2929  2 Si 2.33-2.36, 2 Pd 2.50
Si12 0.7500 0.7360 0.2071  2 Si 2.33-2.36, 2 Pd 2.50
Si13 0.7500 0.9597 0.6259  1 Si 2.33, 4 Pd 2.43-2.54
Si14 0.2500 0.4597 0.8741  1 Si 2.33, 4 Pd 2.43-2.54
Si15 0.2500 0.0403 0.3741  1 Si 2.33, 4 Pd 2.43-2.54
Si16 0.7500 0.5403 0.1259  1 Si 2.33, 4 Pd 2.43-2.54
Pd1 0.7500 0.5550 0.9395  4 Si 2.36-2.49
Pd2 0.2500 0.0550 0.5605  4 Si 2.36-2.49
Pd3 0.2500 0.4450 0.0605  4 Si 2.36-2.49
Pd4 0.7500 0.9450 0.4395  4 Si 2.36-2.49
Pd5 0.7500 0.3228 0.2078  5 Si 2.50-2.56
Pd6 0.2500 0.8228 0.2922  5 Si 2.50-2.56
Pd7 0.2500 0.6772 0.7922  5 Si 2.50-2.56
Pd8 0.7500 0.1772 0.7078  5 Si 2.50-2.56